1.
Tb3Ce2TmAs6 | PBE-GGA | relaxed

calculated formation energy: -1.50 eV/atom
DOS(E_F): 22.75 states/eV/cell
DFT total energy: -0.2330 hartree per atom

Geometry as CIF:
```
data_Tb3Ce2TmAs6
_chemical_formula_sum 'Tb6 Ce4 Tm2 As12'
_cell_length_a 18.083
_cell_length_b 4.155
_cell_length_c 8.304
_cell_angle_alpha 90.00
_cell_angle_beta 103.27
_cell_angle_gamma 90.00
_space_group_name_H-M_alt 'C 1 2/m 1'
_space_group_IT_number 12
loop_
_space_group_symop_operation_xyz
'x,y,z'
'-x,-y,-z'
'-x,y,-z'
'x,-y,z'
'x+1/2,y+1/2,z'
'-x+1/2,-y+1/2,-z'
'-x+1/2,y+1/2,-z'
'x+1/2,-y+1/2,z'
loop_
_atom_site_label
_atom_site_type_symbol
_atom_site_fract_x
_atom_site_fract_y
_atom_site_fract_z
_atom_site_occupancy
Tb1 Tb 0.000 0.000 0.000 1
Tb2 Tb 0.167 0.500 0.334 1
Ce1 Ce 0.165 0.500 0.831 1
Tm1 Tm 0.000 0.000 0.500 1
As1 As 0.001 0.500 0.254 1
As2 As 0.165 0.000 0.581 1
As3 As 0.166 0.000 0.085 1
```


2.
Ba2LaMoN4 | PBE-GGA | relaxed

ΔE_f (raw): -0.841 eV/atom
DOS(E_F): 4.58 states/eV/cell
DFT total energy: -0.2739 hartree per atom

Geometry as CIF:
```
data_Ba2LaMoN4
_chemical_formula_sum 'Ba4 La2 Mo2 N8'
_cell_length_a 7.860
_cell_length_b 7.501
_cell_length_c 5.897
_cell_angle_alpha 90.00
_cell_angle_beta 90.00
_cell_angle_gamma 90.00
_space_group_name_H-M_alt 'P m n 21'
_space_group_IT_number 31
loop_
_space_group_symop_operation_xyz
'x,y,z'
'-x+1/2,-y,z+1/2'
'-x,y,z'
'x+1/2,-y,z+1/2'
loop_
_atom_site_label
_atom_site_type_symbol
_atom_site_fract_x
_atom_site_fract_y
_atom_site_fract_z
_atom_site_occupancy
Ba1 Ba 0.249 0.156 0.000 1
La1 La 0.000 0.362 0.515 1
Mo1 Mo 0.000 0.654 0.035 1
N1 N 0.000 0.414 0.925 1
N2 N 0.000 0.640 0.354 1
N3 N 0.205 0.775 0.964 1
```


3.
LiMnRe2 | PBE-GGA | relaxed

calculated formation energy: 0.25 eV/atom
DOS(E_F): 2.30 states/eV/cell
DFT total energy: -0.3214 hartree per atom
offset from the most stable computed form: 27 kJ/mol of formula units

Geometry as CIF:
```
data_LiMnRe2
_chemical_formula_sum 'Li1 Mn1 Re2'
_cell_length_a 3.070
_cell_length_b 3.070
_cell_length_c 5.807
_cell_angle_alpha 90.00
_cell_angle_beta 90.00
_cell_angle_gamma 90.00
_space_group_name_H-M_alt 'P 4 m m'
_space_group_IT_number 99
loop_
_space_group_symop_operation_xyz
'x,y,z'
'-y,x,z'
'-x,-y,z'
'y,-x,z'
'-x,y,z'
'y,x,z'
'x,-y,z'
'-y,-x,z'
loop_
_atom_site_label
_atom_site_type_symbol
_atom_site_fract_x
_atom_site_fract_y
_atom_site_fract_z
_atom_site_occupancy
Li1 Li 0.000 0.000 0.000 1
Mn1 Mn 0.500 0.500 0.220 1
Re1 Re 0.000 0.000 0.503 1
Re2 Re 0.500 0.500 0.752 1
```


4.
K3Pa3SbN8 | PBE-GGA | relaxed

ΔE_f (raw): -0.700 eV/atom
DOS(E_F): 18.82 states/eV/cell
DFT total energy: -0.2769 hartree per atom

Geometry as CIF:
```
data_K3Pa3SbN8
_chemical_formula_sum 'K6 Pa6 Sb2 N16'
_cell_length_a 12.145
_cell_length_b 7.017
_cell_length_c 7.677
_cell_angle_alpha 90.00
_cell_angle_beta 121.88
_cell_angle_gamma 90.00
_space_group_name_H-M_alt 'C 1 2/m 1'
_space_group_IT_number 12
loop_
_space_group_symop_operation_xyz
'x,y,z'
'-x,-y,-z'
'-x,y,-z'
'x,-y,z'
'x+1/2,y+1/2,z'
'-x+1/2,-y+1/2,-z'
'-x+1/2,y+1/2,-z'
'x+1/2,-y+1/2,z'
loop_
_atom_site_label
_atom_site_type_symbol
_atom_site_fract_x
_atom_site_fract_y
_atom_site_fract_z
_atom_site_occupancy
K1 K 0.000 0.000 0.000 1
K2 K 0.250 0.250 0.000 1
Pa1 Pa 0.000 0.500 0.500 1
Pa2 Pa 0.250 0.250 0.500 1
Sb1 Sb 0.000 0.000 0.500 1
N1 N 0.027 0.242 0.338 1
N2 N 0.216 0.000 0.663 1
N3 N 0.219 0.500 0.656 1
```


5.
LaCoAg3 | PBE-GGA | relaxed

calculated formation energy: 0.31 eV/atom
DOS(E_F): 6.28 states/eV/cell
DFT total energy: -0.1398 hartree per atom
offset from the most stable computed form: 0 kJ/mol of formula units

Geometry as CIF:
```
data_LaCoAg3
_chemical_formula_sum 'La1 Co1 Ag3'
_cell_length_a 4.880
_cell_length_b 4.880
_cell_length_c 4.880
_cell_angle_alpha 90.00
_cell_angle_beta 90.00
_cell_angle_gamma 90.00
_space_group_name_H-M_alt 'P m -3 m'
_space_group_IT_number 221
_space_group_name_Hall '-P 4 2 3'
loop_
_atom_site_label
_atom_site_type_symbol
_atom_site_fract_x
_atom_site_fract_y
_atom_site_fract_z
_atom_site_occupancy
La1 La 0.000 0.000 0.000 1
Co1 Co 0.500 0.500 0.500 1
Ag1 Ag 0.000 0.500 0.500 1
```


6.
ZnCF3 | PBE-GGA | relaxed

ΔE_f (raw): 0.015 eV/atom
DOS(E_F): 2.94 states/eV/cell
DFT total energy: -0.1179 hartree per atom
offset from the most stable computed form: 71 kJ/mol of formula units

Geometry as CIF:
```
data_ZnCF3
_chemical_formula_sum 'Zn1 C1 F3'
_cell_length_a 3.866
_cell_length_b 3.866
_cell_length_c 3.866
_cell_angle_alpha 90.00
_cell_angle_beta 90.00
_cell_angle_gamma 90.00
_space_group_name_H-M_alt 'P m -3 m'
_space_group_IT_number 221
_space_group_name_Hall '-P 4 2 3'
loop_
_atom_site_label
_atom_site_type_symbol
_atom_site_fract_x
_atom_site_fract_y
_atom_site_fract_z
_atom_site_occupancy
Zn1 Zn 0.000 0.000 0.000 1
C1 C 0.500 0.500 0.500 1
F1 F 0.000 0.500 0.500 1
```


7.
TbSmErTm2 | PBE-GGA | relaxed

calculated formation energy: 0.37 eV/atom
DOS(E_F): 34.41 states/eV/cell
DFT total energy: -0.1546 hartree per atom

Geometry as CIF:
```
data_TbSmErTm2
_chemical_formula_sum 'Tb4 Sm4 Er4 Tm8'
_cell_length_a 6.327
_cell_length_b 16.581
_cell_length_c 6.325
_cell_angle_alpha 90.00
_cell_angle_beta 90.00
_cell_angle_gamma 90.00
_space_group_name_H-M_alt 'C m c m'
_space_group_IT_number 63
_space_group_name_Hall '-C 2c 2'
loop_
_atom_site_label
_atom_site_type_symbol
_atom_site_fract_x
_atom_site_fract_y
_atom_site_fract_z
_atom_site_occupancy
Tb1 Tb 0.000 0.156 0.250 1
Sm1 Sm 0.000 0.342 0.250 1
Er1 Er 0.000 0.252 0.750 1
Tm1 Tm 0.250 0.000 0.000 1
```


8.
NdYEr2S6 | PBE-GGA | relaxed

ΔE_f (raw): -2.049 eV/atom
DOS(E_F): 0.00 states/eV/cell
DFT total energy: -0.2411 hartree per atom

Geometry as CIF:
```
data_NdYEr2S6
_chemical_formula_sum 'Nd3 Y3 Er6 S18'
_cell_length_a 6.9538
_cell_length_b 6.9538
_cell_length_c 18.5028
_cell_angle_alpha 90.00
_cell_angle_beta 90.00
_cell_angle_gamma 120.00
_space_group_name_H-M_alt 'R 3'
_space_group_IT_number 146
_space_group_name_Hall 'R 3'
loop_
_atom_site_label
_atom_site_type_symbol
_atom_site_fract_x
_atom_site_fract_y
_atom_site_fract_z
_atom_site_occupancy
Nd1 Nd 0.0000 0.0000 0.0000 1
Y1 Y 0.0000 0.0000 0.4946 1
Er1 Er 0.0000 0.0000 0.2928 1
Er2 Er 0.0000 0.0000 0.7959 1
S1 S 0.0082 0.3076 0.8917 1
S2 S 0.0230 0.7167 0.3922 1
```